--- a ---
An optimized crystal structure of YTlZnS3, computed with PBE-GGA.

Lattice parameters (Å, degrees): 10.6060 3.9782 14.2339 90.00 90.00 90.00
Space group Pnma (No. 62)
Inequivalent atoms, fractional coordinates:
Y (0.0136, 0.2500, 0.2432) x4
Tl (0.2241, 0.7500, 0.4962) x4
Zn (0.2367, 0.2500, 0.7122) x4
S (0.0466, 0.2500, 0.6303) x4
S (0.0819, 0.7500, 0.1213) x4
S (0.2386, 0.7500, 0.8108) x4

crystal system: orthorhombic

---

--- b ---
An optimized crystal structure of YTlZnS3, computed with PBE-GGA.

Lattice parameters (Å, degrees): 14.4685 3.9774 10.7405 90.00 90.00 90.00
Space group Pnma (No. 62)
Inequivalent atoms, fractional coordinates:
Y (0.0233, 0.2500, 0.1557) x4
Tl (0.2426, 0.2500, 0.4614) x4
Zn (0.0184, 0.7500, 0.4019) x4
S (0.0753, 0.7500, 0.6129) x4
S (0.0942, 0.2500, 0.9233) x4
S (0.1336, 0.7500, 0.2507) x4

crystal system: orthorhombic

---

Energies relative to the minimum, meV per atom: a 0; b 16

---

--- a ---
An optimized crystal structure of YTlZnS3, computed with PBE-GGA.

Lattice parameters (Å, degrees): 11.2403 4.0953 11.9667 90.00 90.00 90.00
Space group Pnma (No. 62)
Inequivalent atoms, fractional coordinates:
Y (0.0228, 0.2500, 0.1692) x4
Tl (0.1614, 0.2500, 0.5084) x4
Zn (0.2485, 0.2500, 0.7995) x4
S (0.0462, 0.7500, 0.3230) x4
S (0.1025, 0.2500, 0.9395) x4
S (0.2217, 0.7500, 0.6990) x4

crystal system: orthorhombic

---

--- b ---
An optimized crystal structure of YTlZnS3, computed with PBE-GGA.

Lattice parameters (Å, degrees): 8.0663 3.9725 10.2836 90.00 109.35 90.00
Space group P2_1/m (No. 11)
Inequivalent atoms, fractional coordinates:
Y (0.1901, 0.2500, 0.1381) x2
Tl (0.2282, 0.7500, 0.7146) x2
Zn (0.4246, 0.7500, 0.3923) x2
S (0.0463, 0.2500, 0.8611) x2
S (0.2829, 0.2500, 0.4364) x2
S (0.4340, 0.7500, 0.1690) x2

crystal system: monoclinic

---

--- c ---
An optimized crystal structure of YTlZnS3, computed with PBE-GGA.

Lattice parameters (Å, degrees): 16.3887 4.0495 8.8670 90.00 104.36 90.00
Space group C2/m (No. 12)
Inequivalent atoms, fractional coordinates:
Y (0.1698, 0.0000, 0.0927) x4
Tl (0.1413, 0.0000, 0.5628) x4
Zn (0.0010, 0.5000, 0.2176) x4
S (0.0000, 0.0000, 0.0000) x2
S (0.0000, 0.5000, 0.5000) x2
S (0.1513, 0.5000, 0.2829) x4
S (0.1584, 0.5000, 0.8719) x4

crystal system: monoclinic

---

--- d ---
An optimized crystal structure of YTlZnS3, computed with PBE-GGA.

Lattice parameters (Å, degrees): 3.9741 14.2303 10.5674 90.00 90.00 90.00
Space group Cmcm (No. 63)
Inequivalent atoms, fractional coordinates:
Y (0.0000, 0.0000, 0.0000) x4
Tl (0.0000, 0.2542, 0.2500) x4
Zn (0.0000, 0.4599, 0.7500) x4
S (0.0000, 0.0601, 0.7500) x4
S (0.0000, 0.3749, 0.5631) x8

crystal system: orthorhombic

---

Energies relative to the minimum, meV per atom: a 52; b 19; c 144; d 0

---

--- a ---
An optimized crystal structure of WS, computed with PBE-GGA.

Lattice parameters (Å, degrees): 5.3299 5.3299 5.3299 90.00 90.00 90.00
Space group F-43m (No. 216)
Inequivalent atoms, fractional coordinates:
W (0.0000, 0.0000, 0.0000) x4
S (0.2500, 0.2500, 0.2500) x4

crystal system: cubic

---

--- b ---
An optimized crystal structure of WS, computed with PBE-GGA.

Lattice parameters (Å, degrees): 3.1108 3.1108 3.4511 90.00 90.00 120.00
Space group P-6m2 (No. 187)
Inequivalent atoms, fractional coordinates:
W (0.0000, 0.0000, 0.0000) x1
S (0.3333, 0.6667, 0.5000) x1

crystal system: hexagonal

---

--- c ---
An optimized crystal structure of WS, computed with PBE-GGA.

Lattice parameters (Å, degrees): 4.9569 4.9569 4.9569 90.00 90.00 90.00
Space group Fm-3m (No. 225)
Inequivalent atoms, fractional coordinates:
W (0.0000, 0.0000, 0.0000) x4
S (0.0000, 0.0000, 0.5000) x4

crystal system: cubic

---

Energies relative to the minimum, meV per atom: a 299; b 0; c 591

---

--- a ---
An optimized crystal structure of Y2ZnS4, computed with PBE-GGA.

Lattice parameters (Å, degrees): 11.0050 11.0050 11.0050 90.00 90.00 90.00
Space group Fd-3m (No. 227, origin choice 2)
Inequivalent atoms, fractional coordinates:
Y (0.0000, 0.0000, 0.0000) x16
Zn (0.1250, 0.1250, 0.6250) x8
S (0.0012, 0.0012, 0.2488) x32

crystal system: cubic

---

--- b ---
An optimized crystal structure of Y2ZnS4, computed with PBE-GGA.

Lattice parameters (Å, degrees): 13.5476 7.8986 6.3376 90.00 90.00 90.00
Space group Pnma (No. 62)
Inequivalent atoms, fractional coordinates:
Y (0.0000, 0.0000, 0.0000) x4
Y (0.2341, 0.2500, 0.4962) x4
Zn (0.0922, 0.7500, 0.4111) x4
S (0.0693, 0.2500, 0.7422) x4
S (0.0906, 0.7500, 0.7740) x4
S (0.1683, 0.5139, 0.2448) x8

crystal system: orthorhombic

---

Energies relative to the minimum, meV per atom: a 34; b 0

---

--- a ---
An optimized crystal structure of Tb3Sb2Se, computed with PBE-GGA.

Lattice parameters (Å, degrees): 4.3066 6.0994 12.8756 90.00 90.00 90.00
Space group Immm (No. 71)
Inequivalent atoms, fractional coordinates:
Tb (0.0000, 0.0000, 0.0000) x2
Tb (0.0000, 0.0000, 0.3392) x4
Sb (0.0000, 0.5000, 0.3312) x4
Se (0.0000, 0.5000, 0.0000) x2

crystal system: orthorhombic

---

--- b ---
An optimized crystal structure of Tb3Sb2Se, computed with PBE-GGA.

Lattice parameters (Å, degrees): 4.3107 4.3107 10.4849 90.00 90.00 120.00
Space group P-3m1 (No. 164)
Inequivalent atoms, fractional coordinates:
Tb (0.0000, 0.0000, 0.0000) x1
Tb (0.3333, 0.6667, 0.3440) x2
Sb (0.3333, 0.6667, 0.8269) x2
Se (0.0000, 0.0000, 0.5000) x1

crystal system: trigonal

---

Energies relative to the minimum, meV per atom: a 0; b 7

---

--- a ---
An optimized crystal structure of SmSiSb, computed with PBE-GGA.

Lattice parameters (Å, degrees): 6.9134 6.9134 6.9134 90.00 90.00 90.00
Space group F-43m (No. 216)
Inequivalent atoms, fractional coordinates:
Sm (0.0000, 0.0000, 0.0000) x4
Si (0.2500, 0.2500, 0.7500) x4
Sb (0.0000, 0.0000, 0.5000) x4

crystal system: cubic

---

--- b ---
An optimized crystal structure of SmSiSb, computed with PBE-GGA.

Lattice parameters (Å, degrees): 7.0945 7.0945 7.0945 90.00 90.00 90.00
Space group F-43m (No. 216)
Inequivalent atoms, fractional coordinates:
Sm (0.0000, 0.0000, 0.0000) x4
Si (0.2500, 0.2500, 0.2500) x4
Sb (0.2500, 0.2500, 0.7500) x4

crystal system: cubic

---

Energies relative to the minimum, meV per atom: a 0; b 176